Density functional theory data (PBE) for a geometry-optimized Ni2SbW structure.

Geometry as CIF:
```
data_Ni2SbW
_chemical_formula_sum 'Ni2 Sb1 W1'
_symmetry_space_group_name_H-M 'P 1'
_symmetry_Int_Tables_number 1
_symmetry_space_group_name_Hall 'P 1'
_cell_length_a 4.3825
_cell_length_b 4.3825
_cell_length_c 4.3825
_cell_angle_alpha 60.00
_cell_angle_beta 60.00
_cell_angle_gamma 60.00
loop_
_atom_site_label
_atom_site_fract_x
_atom_site_fract_y
_atom_site_fract_z
_atom_site_occupancy
Ni1 0.2500 0.2500 0.2500 1
Ni2 0.0000 0.0000 0.0000 1
Sb1 0.5000 0.5000 0.5000 1
W1 0.7500 0.7500 0.7500 1
```

Output
Its total energy is -6.814 eV/atom. The value obtained for the total magnetization is 0.002 μB per formula unit. The formation energy from raw total energies is 0.346 eV per atom. As for the space group: F-43m.



Density functional theory data (PBE) for a geometry-optimized VRe2Si2 structure.

Geometry as CIF:
```
data_VRe2Si2
_chemical_formula_sum 'V2 Re4 Si4'
_symmetry_space_group_name_H-M 'P 1'
_symmetry_Int_Tables_number 1
_symmetry_space_group_name_Hall 'P 1'
_cell_length_a 6.7761
_cell_length_b 6.7761
_cell_length_c 3.0178
_cell_angle_alpha 90.00
_cell_angle_beta 90.00
_cell_angle_gamma 90.00
loop_
_atom_site_label
_atom_site_fract_x
_atom_site_fract_y
_atom_site_fract_z
_atom_site_occupancy
Re1 0.8463 0.3463 0.5000 1
Re2 0.6537 0.8463 0.5000 1
Re3 0.3463 0.1537 0.5000 1
Re4 0.1537 0.6537 0.5000 1
Si1 0.3578 0.8578 0.0000 1
Si2 0.8578 0.6422 0.0000 1
Si3 0.6422 0.1422 0.0000 1
Si4 0.1422 0.3578 0.0000 1
V1 0.5000 0.5000 0.0000 1
V2 0.0000 0.0000 0.0000 1
```

Output
Its total energy is -9.082 eV/atom. The value obtained for the total magnetization is 0.000 μB per formula unit. The formation energy from raw total energies is -0.110 eV per atom. As for the space group: P4/mbm.



Question: The highest total energy belongs to which entry?
Answer: Ni2SbW



What did the first record say?
Density functional theory data (PBE) for a geometry-optimized Ni2SbW structure.

Geometry as CIF:
```
data_Ni2SbW
_chemical_formula_sum 'Ni2 Sb1 W1'
_symmetry_space_group_name_H-M 'P 1'
_symmetry_Int_Tables_number 1
_symmetry_space_group_name_Hall 'P 1'
_cell_length_a 4.3825
_cell_length_b 4.3825
_cell_length_c 4.3825
_cell_angle_alpha 60.00
_cell_angle_beta 60.00
_cell_angle_gamma 60.00
loop_
_atom_site_label
_atom_site_fract_x
_atom_site_fract_y
_atom_site_fract_z
_atom_site_occupancy
Ni1 0.2500 0.2500 0.2500 1
Ni2 0.0000 0.0000 0.0000 1
Sb1 0.5000 0.5000 0.5000 1
W1 0.7500 0.7500 0.7500 1
```

Output
Its total energy is -6.814 eV/atom. The value obtained for the total magnetization is 0.002 μB per formula unit. The formation energy from raw total energies is 0.346 eV per atom. As for the space group: F-43m.